The following is a DFT calculation (GGA-PBE) of a relaxed Hf2Be2Pt3 crystal.

POSCAR file:
```
Hf2Be2Pt3
1.0
2.184 1.261 7.021
-2.184 1.261 7.021
0.000 -2.521 7.021
Hf Be Pt
2 2 3
Cartesian
0.000 0.000 0.000 Hf
0.000 0.000 10.268 Hf
0.000 0.000 5.093 Be
0.000 0.000 15.676 Be
0.000 0.000 7.692 Pt
0.000 0.000 12.994 Pt
0.000 0.000 18.283 Pt
```

Values from the calculation:
* ρ: 13.7 g cm⁻³
* space group: No. 160
* uncorrected energy: -7.23 eV per atom


The following is a DFT calculation (GGA-PBE) of a relaxed SrHfBePt crystal.

POSCAR file:
```
SrHfBePt
1.0
0.000 3.321 3.321
3.321 0.000 3.321
3.321 3.321 0.000
Sr Hf Be Pt
1 1 1 1
Cartesian
0.000 0.000 0.000 Sr
4.982 4.982 4.982 Hf
1.661 1.661 1.661 Be
3.321 3.321 3.321 Pt
```

Values from the calculation:
* ρ: 10.7 g cm⁻³
* excess energy over the best structure of this formula in the dataset: 0.020 eV per atom
* space group: No. 216
* uncorrected energy: -5.33 eV per atom


The following is a DFT calculation (GGA-PBE) of a relaxed SrHfBePt crystal.

POSCAR file:
```
SrHfBePt
1.0
0.000 3.347 3.347
3.347 0.000 3.347
3.347 3.347 0.000
Sr Hf Be Pt
1 1 1 1
Cartesian
0.000 0.000 0.000 Sr
1.673 1.673 1.673 Hf
3.347 3.347 3.347 Be
5.020 5.020 5.020 Pt
```

Values from the calculation:
* ρ: 10.4 g cm⁻³
* excess energy over the best structure of this formula in the dataset: 0.363 eV per atom
* space group: No. 216
* uncorrected energy: -4.99 eV per atom


The following is a DFT calculation (GGA-PBE) of a relaxed SrHfBePt crystal.

POSCAR file:
```
SrHfBePt
1.0
0.000 3.444 3.444
3.444 0.000 3.444
3.444 3.444 0.000
Sr Hf Be Pt
1 1 1 1
Cartesian
0.000 0.000 0.000 Sr
3.444 3.444 3.444 Hf
1.722 1.722 1.722 Be
5.166 5.166 5.166 Pt
```

Values from the calculation:
* ρ: 9.6 g cm⁻³
* excess energy over the best structure of this formula in the dataset: 0.000 eV per atom
* space group: No. 216
* uncorrected energy: -5.35 eV per atom


The following is a DFT calculation (GGA-PBE) of a relaxed PuHfBe crystal.

POSCAR file:
```
PuHfBe
1.0
0.000 3.132 3.132
3.132 0.000 3.132
3.132 3.132 0.000
Pu Hf Be
1 1 1
Cartesian
0.000 0.000 0.000 Pu
3.132 3.132 3.132 Hf
4.699 4.699 4.699 Be
```

Values from the calculation:
* ρ: 11.7 g cm⁻³
* excess energy over the best structure of this formula in the dataset: 0.000 eV per atom
* space group: No. 216
* uncorrected energy: -8.84 eV per atom


The following is a DFT calculation (GGA-PBE) of a relaxed RbHfBe crystal.

POSCAR file:
```
RbHfBe
1.0
0.000 3.481 3.481
3.481 0.000 3.481
3.481 3.481 0.000
Rb Hf Be
1 1 1
Cartesian
0.000 0.000 0.000 Rb
3.481 3.481 3.481 Hf
5.222 5.222 5.222 Be
```

Values from the calculation:
* ρ: 5.4 g cm⁻³
* excess energy over the best structure of this formula in the dataset: 0.000 eV per atom
* space group: No. 216
* uncorrected energy: -3.18 eV per atom


Q: Look up the ρ of the second one.
A: 10.7 g cm⁻³